The following is a PBEsol calculation of a relaxed structure of Mn3Cr, from Alexandria via LeMat-Bulk.

Properties
Fermi-level density of states	1.561	states/eV/atom
DFT formation energy	9.82	kJ/mol of atoms

Geometry as CIF:
```
data_Mn3Cr
_cell_length_a 2.4149
_cell_length_b 3.8451
_cell_length_c 4.6572
_cell_angle_alpha 90.00
_cell_angle_beta 102.02
_cell_angle_gamma 90.00
_space_group_name_H-M_alt 'P 1 2/m 1'
_space_group_IT_number 10
loop_
_space_group_symop_operation_xyz
'x,y,z'
'-x,-y,-z'
'-x,y,-z'
'x,-y,z'
loop_
_atom_site_label
_atom_site_type_symbol
_atom_site_fract_x
_atom_site_fract_y
_atom_site_fract_z
Mn1 Mn 0.0000 0.0000 0.0000
Mn2 Mn 0.3112 0.5000 0.7502
Cr1 Cr 0.5000 0.0000 0.5000
```